# Al2AgN2

Crystalline Al2AgN2 at its relaxed geometry (PBE, Alexandria via LeMat-Bulk).

a b c (Å): 6.3603 6.3603 6.3603
angles (deg): 145.21 145.21 50.03
Closest atoms and distances in Å follow each position.
Fractional positions:
Al1 0.2475 0.2475 0.0000  4 N 1.90
Al2 0.7525 0.7525 0.0000  4 N 1.90
Ag1 0.0000 0.0000 0.0000  2 Al 2.85
N1 0.2500 0.7500 0.5000  4 Al 1.90
N2 0.7500 0.2500 0.5000  4 Al 1.90

As for the volume: 16.68 A^3/atom. The formation energy without anion corrections comes out at -6.38 kcal/mol of atoms. The offset from the most stable computed form is 0.077 eV/atom. Its space group is I4/mmm (139). The value obtained for the density of states at the Fermi level is 1.2 states/eV/f.u. The total DFT energy (no corrections) comes out at -28.37 eV per cell.



# AcPm8Y3

Crystalline AcPm8Y3 at its relaxed geometry (PBE, Alexandria via LeMat-Bulk).

a b c (Å): 8.7043 8.7043 11.1331
angles (deg): 129.68 129.68 43.26
Closest atoms and distances in Å follow each position.
Fractional positions:
Ac1 0.0000 0.0000 0.0000  2 Y 3.67, 10 Pm 3.68-3.75
Pm1 0.9997 0.0007 0.3368  4 Y 3.59-3.70, 7 Pm 3.60-3.73, 1 Ac 3.75
Pm2 0.4197 0.0874 0.4216  7 Pm 3.59-3.74, 4 Y 3.61-3.73, 1 Ac 3.68
Pm3 0.4195 0.0881 0.0859  7 Pm 3.58-3.74, 4 Y 3.61-3.73, 1 Ac 3.68
Pm4 0.4957 0.5040 0.1697  7 Pm 3.58-3.78, 3 Y 3.68, 2 Ac 3.70-3.75
Pm5 0.4960 0.5043 0.8303  7 Pm 3.58-3.78, 3 Y 3.68, 2 Ac 3.70-3.75
Pm6 0.9119 0.5805 0.9141  7 Pm 3.58-3.74, 4 Y 3.61-3.73, 1 Ac 3.68
Pm7 0.9126 0.5803 0.5784  7 Pm 3.59-3.74, 4 Y 3.61-3.73, 1 Ac 3.68
Pm8 0.9993 0.0003 0.6632  4 Y 3.59-3.70, 7 Pm 3.60-3.73, 1 Ac 3.75
Y1 0.4102 0.0850 0.7477  10 Pm 3.59-3.73, 1 Y 3.62, 1 Ac 3.67
Y2 0.4969 0.5031 0.5000  10 Pm 3.61-3.70, 2 Y 3.62
Y3 0.9150 0.5898 0.2523  10 Pm 3.59-3.73, 1 Y 3.62, 1 Ac 3.67

As for the volume: 35.01 A^3/atom. Its formation energy is 37 kJ/mol of formula units. Its space group is C2 (5). The value obtained for the density of states at the Fermi level is 21.5 states/eV/f.u. The total DFT energy (no corrections) comes out at -61.12 eV per cell.



# LiTbSi2Pd5

Crystalline LiTbSi2Pd5 at its relaxed geometry (PBE, Alexandria via LeMat-Bulk).

a b c (Å): 4.0935 4.0935 9.0832
angles (deg): 90.00 90.00 90.00
Closest atoms and distances in Å follow each position.
Fractional positions:
Li1 0.0000 0.0000 0.0000  8 Si 3.12, 8 Pd 3.15
Tb1 0.0000 0.0000 0.5000  12 Pd 2.89-2.97
Si1 0.5000 0.5000 0.1280  1 Si 2.33, 4 Pd 2.39
Si2 0.5000 0.5000 0.8720  1 Si 2.33, 4 Pd 2.39
Pd1 0.0000 0.5000 0.2631  2 Si 2.39
Pd2 0.0000 0.5000 0.7369  2 Si 2.39
Pd3 0.5000 0.0000 0.2631  2 Si 2.39
Pd4 0.5000 0.0000 0.7369  2 Si 2.39
Pd5 0.5000 0.5000 0.5000  4 Tb 2.89, 8 Pd 2.97

As for the volume: 16.91 A^3/atom. The formation energy without anion corrections comes out at -16.94 kcal/mol of atoms. Its space group is P4/mmm (123). The value obtained for the density of states at the Fermi level is 3.3 states/eV/f.u. The total DFT energy (no corrections) comes out at -49.97 eV per cell.



# Rb2FeSiS4

Crystalline Rb2FeSiS4 at its relaxed geometry (PBE, Alexandria via LeMat-Bulk).

a b c (Å): 13.7102 12.3120 7.3054
angles (deg): 84.58 63.38 32.04
Closest atoms and distances in Å follow each position.
Fractional positions:
Rb1 0.0531 0.0531 0.6969  8 S 3.55-3.76
Rb2 0.3031 0.3031 0.9469  8 S 3.55-3.76
Rb3 0.6969 0.6969 0.0531  8 S 3.55-3.76
Rb4 0.9469 0.9469 0.3031  8 S 3.55-3.76
Fe1 0.1250 0.1250 0.1250  4 S 2.32
Fe2 0.8750 0.8750 0.8750  4 S 2.32
Si1 0.3750 0.3750 0.3750  4 S 2.15
Si2 0.6250 0.6250 0.6250  4 S 2.15
S1 0.0080 0.6438 0.5607  1 Si 2.15, 1 Fe 2.32
S2 0.2875 0.5607 0.6438  1 Si 2.15, 1 Fe 2.32
S3 0.3562 0.9920 0.7125  1 Si 2.15, 1 Fe 2.32
S4 0.4393 0.7125 0.9920  1 Si 2.15, 1 Fe 2.32
S5 0.5607 0.2875 0.0080  1 Si 2.15, 1 Fe 2.32
S6 0.6438 0.0080 0.2875  1 Si 2.15, 1 Fe 2.32
S7 0.7125 0.4393 0.3562  1 Si 2.15, 1 Fe 2.32
S8 0.9920 0.3562 0.4393  1 Si 2.15, 1 Fe 2.32

As for the volume: 29.19 A^3/atom. The formation energy without anion corrections comes out at -20.41 kcal/mol of atoms. Its space group is Fddd (70). The value obtained for the density of states at the Fermi level is 2.3 states/eV/f.u. The total DFT energy (no corrections) comes out at -78.82 eV per cell.



# Ca2LaCo2

Crystalline Ca2LaCo2 at its relaxed geometry (PBE, Alexandria via LeMat-Bulk).

a b c (Å): 6.1324 6.1324 6.1324
angles (deg): 132.22 132.22 69.89
Closest atoms and distances in Å follow each position.
Fractional positions:
Ca1 0.1541 0.1541 0.0000  4 Co 2.66
Ca2 0.8459 0.8459 0.0000  4 Co 2.66
La1 0.5000 0.5000 0.0000  10 Ca 3.48-3.84, 8 Co 3.53
Co1 0.2500 0.7500 0.5000  4 Ca 2.66
Co2 0.7500 0.2500 0.5000  4 Ca 2.66

As for the volume: 24.81 A^3/atom. Its formation energy is 246 kJ/mol of formula units. The offset from the most stable computed form is 0.365 eV/atom. Its space group is I4/mmm (139). The value obtained for the density of states at the Fermi level is 2.4 states/eV/f.u. The total DFT energy (no corrections) comes out at -20.59 eV per cell.



# TiNb2GaH

Crystalline TiNb2GaH at its relaxed geometry (PBE, Alexandria via LeMat-Bulk).

a b c (Å): 4.0108 4.0108 4.3840
angles (deg): 90.00 90.00 90.00
Closest atoms and distances in Å follow each position.
Fractional positions:
Ti1 0.0000 0.0000 0.0000  2 H 2.19
Nb1 0.0000 0.5000 0.5000  2 H 2.01
Nb2 0.5000 0.0000 0.5000  2 H 2.01
Ga1 0.5000 0.5000 0.0000  4 Ti 2.84, 8 Nb 2.97
H1 0.0000 0.0000 0.5000  4 Nb 2.01, 2 Ti 2.19

As for the volume: 14.10 A^3/atom. The offset from the most stable computed form is 0.000 eV/atom. Its space group is P4/mmm (123). The value obtained for the density of states at the Fermi level is 3.7 states/eV/f.u. The total DFT energy (no corrections) comes out at -35.88 eV per cell.